## K2LiNd4Nb2O12 (GGA-PBE)

Data for a geometry-optimized K2LiNd4Nb2O12 structure.

Structure (POSCAR):
```
K2LiNd4Nb2O12
1.0
1.874 -5.254 4.120
6.117 -1.526 2.887
-0.558 3.385 8.315
K Li Nd Nb O
2 1 4 2 12
Direct
0.881 0.881 0.479 K
0.123 0.123 0.501 K
0.090 0.090 0.828 Li
0.854 0.854 0.935 Nd
0.419 0.419 0.187 Nd
0.588 0.588 0.796 Nd
0.134 0.134 0.093 Nd
0.346 0.346 0.698 Nb
0.658 0.658 0.294 Nb
0.451 0.001 0.818 O
0.309 0.782 0.291 O
0.238 0.769 0.989 O
0.695 0.210 0.708 O
0.782 0.309 0.291 O
0.769 0.238 0.989 O
0.210 0.695 0.708 O
0.529 0.005 0.174 O
0.332 0.332 0.496 O
0.671 0.671 0.497 O
0.005 0.529 0.174 O
0.001 0.451 0.818 O
```

Energy relative to the lowest polymorph listed for this composition = 1.054 eV/f.u.
ΔE_f (raw) = -2.737 eV per atom
E_tot = -160.29 eV for the cell shown
Spin magnetization = 0.27 μB/f.u.
Space-group type = Cm
DOS at the Fermi energy = 0.165 states/eV/atom
Density = 5.5 g cm⁻³